(1)
The following is a DFT calculation (PBE-GGA) of crystalline LiHoZnCl6 at its relaxed geometry.

For the total moment, the calculation gives 0.00 μB/atom. The calculation puts the density at 3.447 g/cm3. The calculation puts the formation energy without anion corrections at -15.64 eV per formula unit. As for the volume: 217 Å³/f.u.

The structure belongs to space group P-31c (No. 163); the cell edges are 6.4915, 6.4915 and 11.8816 Å and the angles 90.00°, 90.00° and 120.00°. Symmetry generates all atoms from Li at (0.0000, 0.0000, 0.0000), Ho at (0.3333, 0.6667, 0.2500), Zn at (0.3333, 0.6667, 0.7500) and Cl at (0.0166, 0.3527, 0.6288).

=====

(2)
The following is a DFT calculation (PBE-GGA) of crystalline Ho2LuCl at its relaxed geometry.

For the total moment, the calculation gives 0.00 μB/atom. The calculation puts the density at 8.279 g/cm3. The calculation puts the formation energy without anion corrections at -2.53 eV per formula unit. As for the volume: 108 Å³/f.u.

The structure belongs to space group R-3m (No. 166, hexagonal axes); the cell edges are 3.5645, 3.5645 and 29.5457 Å and the angles 90.00°, 90.00° and 120.00°. Symmetry generates all atoms from Ho at (0.0000, 0.0000, 0.2405), Lu at (0.0000, 0.0000, 0.0000) and Cl at (0.0000, 0.0000, 0.5000).

=====

no.,total energy (eV/cell)
1,-68.98
2,-54.17